(1)
{"formula": "HfScGaTc", "functional": "PBE-GGA", "state": "relaxed", "e_form_ev_per_atom": -0.529, "lattice_angstrom": [[3.358, 0.000, 0.000], [0.000, 3.358, 0.000], [0.000, 0.000, 6.425]], "species": ["Ga", "Tc", "Hf", "Sc"], "fractional_positions": [[0.500, 0.500, 0.106], [0.500, 0.500, 0.617], [0.000, 0.000, 0.839], [0.000, 0.000, 0.367]]}

---

(2)
{"formula": "HfScTiGa", "functional": "PBE-GGA", "state": "relaxed", "e_form_ev_per_atom": -0.145, "lattice_angstrom": [[4.796, 0.000, 0.000], [2.398, 4.153, 0.000], [2.398, 1.384, 3.916]], "species": ["Ti", "Hf", "Sc", "Ga"], "fractional_positions": [[0.500, 0.500, 0.500], [0.250, 0.250, 0.250], [0.750, 0.750, 0.750], [0.000, 0.000, 0.000]]}

---

(3)
{"formula": "HfSc2TlGa", "functional": "PBE-GGA", "state": "relaxed", "e_form_ev_per_atom": 0.823, "lattice_angstrom": [[5.215, 0.000, 0.000], [0.000, 5.543, 0.000], [0.000, 0.000, 5.215]], "species": ["Sc", "Sc", "Tl", "Hf", "Ga"], "fractional_positions": [[0.500, 0.000, 0.000], [0.000, 0.000, 0.500], [0.000, 0.500, 0.000], [0.000, 0.000, 0.000], [0.500, 0.500, 0.500]]}

---

(4)
{"formula": "YHfSc2Ga", "functional": "PBE-GGA", "state": "relaxed", "e_form_ev_per_atom": 0.420, "lattice_angstrom": [[5.087, 0.000, 0.000], [0.000, 5.376, 0.000], [0.000, 0.000, 5.087]], "species": ["Sc", "Sc", "Y", "Ga", "Hf"], "fractional_positions": [[0.000, 0.000, 0.500], [0.500, 0.000, 0.000], [0.000, 0.500, 0.000], [0.000, 0.000, 0.000], [0.500, 0.500, 0.500]]}

---

(5)
{"formula": "HfGaSe", "functional": "PBE-GGA", "state": "relaxed", "e_form_raw_mev_per_atom": -849, "lattice_angstrom": [[-2.571, -0.446, -2.597], [2.584, -1.137, -2.362], [-1.185, -7.972, 2.541]], "species": ["Hf", "Hf", "Ga", "Ga", "Se", "Se"], "fractional_positions": [[0.500, 0.000, 0.272], [0.000, 0.500, 0.728], [0.000, 0.000, 0.000], [0.500, 0.500, 0.000], [0.500, 0.000, 0.618], [0.000, 0.500, 0.382]]}

---

(6)
{"formula": "Hf8GaSe2", "functional": "PBE-GGA", "state": "relaxed", "e_form_raw_mev_per_atom": -231, "lattice_angstrom": [[-1.383, -2.660, 4.624], [7.266, -1.277, 3.000], [4.776, 3.754, 5.150]], "species": ["Ga", "Hf", "Hf", "Hf", "Hf", "Hf", "Hf", "Hf", "Hf", "Se", "Se"], "fractional_positions": [[0.000, 0.000, 0.000], [0.158, 0.774, 0.774], [0.171, 0.405, 0.405], [0.307, 0.344, 0.818], [0.693, 0.182, 0.656], [0.842, 0.226, 0.226], [0.829, 0.595, 0.595], [0.693, 0.656, 0.182], [0.307, 0.818, 0.344], [0.344, 0.225, 0.225], [0.656, 0.775, 0.775]]}

---

(7)
{"formula": "Hf2Ga2Se", "functional": "PBE-GGA", "state": "relaxed", "e_form_raw_mev_per_atom": -562, "lattice_angstrom": [[-3.730, 2.738, 5.323], [-5.839, -3.043, -2.527], [0.751, -3.280, 2.213]], "species": ["Se", "Se", "Ga", "Ga", "Ga", "Ga", "Hf", "Hf", "Hf", "Hf"], "fractional_positions": [[0.000, 0.000, 0.000], [0.500, 0.500, 0.000], [0.372, 0.128, 0.500], [0.628, 0.872, 0.500], [0.128, 0.628, 0.500], [0.872, 0.372, 0.500], [0.674, 0.174, 0.000], [0.174, 0.326, 0.000], [0.326, 0.826, 0.000], [0.826, 0.674, 0.000]]}

---

(8)
{"formula": "Hf2GaSe2", "functional": "PBE-GGA", "state": "relaxed", "e_form_raw_mev_per_atom": -687, "lattice_angstrom": [[7.536, 0.000, 0.000], [0.000, 7.536, 0.000], [0.000, 0.000, 3.456]], "species": ["Hf", "Hf", "Hf", "Hf", "Se", "Se", "Se", "Se", "Ga", "Ga"], "fractional_positions": [[0.347, 0.847, 0.000], [0.653, 0.153, 0.000], [0.847, 0.653, 0.000], [0.153, 0.347, 0.000], [0.141, 0.641, 0.500], [0.859, 0.359, 0.500], [0.359, 0.141, 0.500], [0.641, 0.859, 0.500], [0.000, 0.000, 0.000], [0.500, 0.500, 0.000]]}

---

(9)
{"formula": "HfGaSe2", "functional": "PBE-GGA", "state": "relaxed", "e_form_raw_mev_per_atom": -476, "lattice_angstrom": [[-4.866, -3.790, -2.773], [3.941, -5.467, 0.558], [-2.551, -5.622, 3.914]], "species": ["Se", "Se", "Se", "Se", "Ga", "Ga", "Hf", "Hf"], "fractional_positions": [[0.875, 0.927, 0.750], [0.073, 0.625, 0.250], [0.677, 0.125, 0.250], [0.375, 0.323, 0.750], [0.250, 0.750, 0.500], [0.500, 0.500, 0.000], [0.750, 0.250, 0.500], [0.000, 0.000, 0.000]]}

---

(10)
{"formula": "HfGa3Se", "functional": "PBE-GGA", "state": "relaxed", "relative_energy_mev_per_atom": 0, "e_form_raw_mev_per_atom": 688, "lattice_angstrom": [[-4.915, -1.928, -0.399], [0.672, -0.635, -5.213], [1.850, -4.890, 0.834]], "species": ["Ga", "Ga", "Ga", "Hf", "Se"], "fractional_positions": [[0.500, 0.000, 0.000], [0.000, 0.500, 0.000], [0.000, 0.000, 0.500], [0.000, 0.000, 0.000], [0.500, 0.500, 0.500]]}

---

(11)
{"formula": "HfGa3Se", "functional": "PBE-GGA", "state": "relaxed", "relative_energy_mev_per_atom": 15, "e_form_raw_mev_per_atom": 703, "lattice_angstrom": [[4.891, 0.000, 0.000], [0.000, 4.891, 0.000], [0.000, 0.000, 4.891]], "species": ["Ga", "Ga", "Ga", "Se", "Hf"], "fractional_positions": [[0.000, 0.500, 0.000], [0.500, 0.000, 0.000], [0.000, 0.000, 0.500], [0.000, 0.000, 0.000], [0.500, 0.500, 0.500]]}

---

(12)
{"formula": "HfGa2Se4", "functional": "PBE-GGA", "state": "relaxed", "e_form_raw_mev_per_atom": -435, "lattice_angstrom": [[6.299, 0.141, 0.000], [-2.910, 5.589, 0.000], [-1.695, -2.865, 5.350]], "species": ["Hf", "Ga", "Ga", "Se", "Se", "Se", "Se"], "fractional_positions": [[0.500, 0.500, 0.000], [0.250, 0.750, 0.500], [0.750, 0.250, 0.500], [0.333, 0.187, 0.521], [0.187, 0.667, 0.854], [0.813, 0.333, 0.146], [0.667, 0.813, 0.479]]}

---

(13)
{"formula": "HfGa2Se6", "functional": "PBE-GGA", "state": "relaxed", "e_form_raw_mev_per_atom": -654, "lattice_angstrom": [[7.270, -0.262, -0.254], [1.804, 8.303, -0.343], [1.804, -0.074, 8.310]], "species": ["Ga", "Ga", "Ga", "Ga", "Se", "Se", "Se", "Se", "Se", "Se", "Se", "Se", "Se", "Se", "Se", "Se", "Hf", "Hf"], "fractional_positions": [[0.190, 0.595, 0.771], [0.310, 0.229, 0.405], [0.690, 0.771, 0.595], [0.810, 0.405, 0.229], [0.891, 0.174, 0.052], [0.391, 0.052, 0.174], [0.609, 0.948, 0.826], [0.810, 0.936, 0.391], [0.078, 0.480, 0.358], [0.578, 0.358, 0.480], [0.690, 0.609, 0.064], [0.109, 0.826, 0.948], [0.922, 0.520, 0.642], [0.190, 0.064, 0.609], [0.310, 0.391, 0.936], [0.422, 0.642, 0.520], [0.750, 0.895, 0.105], [0.250, 0.105, 0.895]]}

---

(14)
{"formula": "HfTi2GaSe", "functional": "PBE-GGA", "state": "relaxed", "e_form_raw_mev_per_atom": 945, "lattice_angstrom": [[-3.665, -2.088, 2.432], [1.735, -4.624, -1.355], [2.748, -0.146, 4.017]], "species": ["Ti", "Ti", "Se", "Hf", "Ga"], "fractional_positions": [[0.500, 0.000, 0.000], [0.000, 0.000, 0.500], [0.500, 0.500, 0.500], [0.000, 0.000, 0.000], [0.000, 0.500, 0.000]]}

---

(15)
{"formula": "YHfGa2Se", "functional": "PBE-GGA", "state": "relaxed", "e_form_raw_mev_per_atom": 384, "lattice_angstrom": [[5.028, 0.000, 0.000], [0.000, 5.185, 0.000], [0.000, 0.000, 5.028]], "species": ["Hf", "Se", "Ga", "Ga", "Y"], "fractional_positions": [[0.500, 0.500, 0.500], [0.000, 0.000, 0.000], [0.500, 0.000, 0.000], [0.000, 0.000, 0.500], [0.000, 0.500, 0.000]]}

---

(16)
{"formula": "YHfGaSe2", "functional": "PBE-GGA", "state": "relaxed", "e_form_raw_mev_per_atom": 409, "lattice_angstrom": [[5.017, 0.000, 0.000], [0.000, 5.197, 0.000], [0.000, 0.000, 5.017]], "species": ["Y", "Ga", "Se", "Se", "Hf"], "fractional_positions": [[0.000, 0.500, 0.000], [0.000, 0.000, 0.000], [0.000, 0.000, 0.500], [0.500, 0.000, 0.000], [0.500, 0.500, 0.500]]}

---

(17)
{"formula": "HfGaSi", "functional": "PBE-GGA", "state": "relaxed", "relative_energy_mev_per_atom": 117, "e_form_raw_mev_per_atom": -397, "lattice_angstrom": [[-11.441, -7.197, -2.968], [2.159, -2.704, -1.764], [0.335, -1.908, 3.336]], "species": ["Hf", "Hf", "Hf", "Hf", "Ga", "Ga", "Ga", "Ga", "Si", "Si", "Si", "Si"], "fractional_positions": [[0.638, 0.000, 0.000], [0.138, 0.500, 0.000], [0.362, 0.000, 0.000], [0.862, 0.500, 0.000], [0.189, 0.000, 0.500], [0.811, 0.000, 0.500], [0.689, 0.500, 0.500], [0.311, 0.500, 0.500], [0.000, 0.000, 0.000], [0.000, 0.500, 0.500], [0.500, 0.000, 0.500], [0.500, 0.500, 0.000]]}

---

(18)
{"formula": "Hf2GaSi4", "functional": "PBE-GGA", "state": "relaxed", "e_form_raw_mev_per_atom": 564, "lattice_angstrom": [[4.691, 0.000, 0.000], [0.000, 4.691, 0.000], [2.346, 2.346, 6.713]], "species": ["Hf", "Hf", "Si", "Si", "Si", "Si", "Ga"], "fractional_positions": [[0.390, 0.390, 0.220], [0.610, 0.610, 0.780], [0.500, 0.000, 0.000], [0.810, 0.810, 0.380], [0.190, 0.190, 0.620], [0.000, 0.500, 0.000], [0.000, 0.000, 0.000]]}

---

(19)
{"formula": "Hf4Ga2Si", "functional": "PBE-GGA", "state": "relaxed", "e_form_raw_mev_per_atom": 162, "lattice_angstrom": [[4.719, 0.000, 0.000], [0.000, 4.719, 0.000], [2.360, 2.360, 7.147]], "species": ["Hf", "Hf", "Hf", "Hf", "Ga", "Ga", "Si"], "fractional_positions": [[0.500, 0.000, 0.000], [0.175, 0.175, 0.650], [0.000, 0.500, 0.000], [0.825, 0.825, 0.350], [0.368, 0.368, 0.263], [0.632, 0.632, 0.737], [0.000, 0.000, 0.000]]}

---

(20)
{"formula": "Hf2GaSi", "functional": "PBE-GGA", "state": "relaxed", "relative_energy_mev_per_atom": 477, "e_form_raw_mev_per_atom": -217, "lattice_angstrom": [[-0.541, 4.576, 5.639], [-0.742, -5.660, 4.522], [2.267, -0.638, 5.437]], "species": ["Hf", "Hf", "Hf", "Hf", "Si", "Si", "Ga", "Ga"], "fractional_positions": [[0.132, 0.625, 0.250], [0.618, 0.125, 0.250], [0.375, 0.382, 0.750], [0.875, 0.868, 0.750], [0.250, 0.750, 0.500], [0.500, 0.500, 0.000], [0.750, 0.250, 0.500], [0.000, 0.000, 0.000]]}

---

(21)
{"formula": "Hf6Ga2Si", "functional": "PBE-GGA", "state": "relaxed", "e_form_raw_mev_per_atom": -319, "lattice_angstrom": [[-3.739, -0.156, -4.126], [3.679, -5.519, -3.126], [-5.038, -5.885, 4.461]], "species": ["Hf", "Hf", "Hf", "Hf", "Hf", "Hf", "Hf", "Hf", "Hf", "Hf", "Hf", "Hf", "Si", "Si", "Ga", "Ga", "Ga", "Ga"], "fractional_positions": [[0.389, 0.807, 0.450], [0.639, 0.464, 0.275], [0.368, 0.837, 0.049], [0.861, 0.964, 0.225], [0.889, 0.693, 0.950], [0.632, 0.163, 0.951], [0.111, 0.307, 0.050], [0.132, 0.337, 0.451], [0.139, 0.036, 0.775], [0.361, 0.536, 0.725], [0.868, 0.663, 0.549], [0.611, 0.193, 0.550], [0.000, 0.000, 0.500], [0.500, 0.500, 0.000], [0.396, 0.116, 0.257], [0.104, 0.616, 0.243], [0.896, 0.384, 0.757], [0.604, 0.884, 0.743]]}

---

(22)
{"formula": "Hf2GaSi", "functional": "PBE-GGA", "state": "relaxed", "relative_energy_mev_per_atom": 0, "e_form_raw_mev_per_atom": -695, "lattice_angstrom": [[-2.152, 3.028, -0.688], [-4.226, -3.184, -0.792], [0.547, 2.050, 7.311]], "species": ["Hf", "Hf", "Hf", "Hf", "Si", "Si", "Ga", "Ga"], "fractional_positions": [[0.250, 0.781, 0.077], [0.750, 0.219, 0.923], [0.750, 0.206, 0.432], [0.250, 0.794, 0.568], [0.750, 0.659, 0.292], [0.250, 0.341, 0.708], [0.250, 0.329, 0.208], [0.750, 0.671, 0.792]]}

---

(23)
{"formula": "HfGaSi", "functional": "PBE-GGA", "state": "relaxed", "relative_energy_mev_per_atom": 0, "e_form_raw_mev_per_atom": -514, "lattice_angstrom": [[-2.393, 2.401, 1.692], [-8.469, -11.128, 3.815], [1.909, -0.355, 3.202]], "species": ["Hf", "Hf", "Hf", "Hf", "Si", "Si", "Si", "Si", "Ga", "Ga", "Ga", "Ga"], "fractional_positions": [[0.000, 0.594, 0.250], [0.000, 0.406, 0.750], [0.500, 0.094, 0.250], [0.500, 0.906, 0.750], [0.500, 0.440, 0.250], [0.500, 0.560, 0.750], [0.000, 0.940, 0.250], [0.000, 0.060, 0.750], [0.500, 0.752, 0.250], [0.000, 0.252, 0.250], [0.000, 0.748, 0.750], [0.500, 0.248, 0.750]]}

---

(24)
{"formula": "Hf3GaSi2", "functional": "PBE-GGA", "state": "relaxed", "e_form_raw_mev_per_atom": -579, "lattice_angstrom": [[-3.670, 0.271, 1.117], [-2.450, -7.851, -6.148], [1.956, -6.965, 8.116]], "species": ["Si", "Si", "Si", "Si", "Si", "Si", "Si", "Si", "Hf", "Hf", "Hf", "Hf", "Hf", "Hf", "Hf", "Hf", "Hf", "Hf", "Hf", "Hf", "Ga", "Ga", "Ga", "Ga"], "fractional_positions": [[0.250, 0.694, 0.483], [0.750, 0.194, 0.017], [0.750, 0.484, 0.190], [0.250, 0.516, 0.810], [0.250, 0.984, 0.310], [0.750, 0.306, 0.517], [0.250, 0.806, 0.983], [0.750, 0.016, 0.690], [0.250, 0.704, 0.208], [0.750, 0.296, 0.792], [0.750, 0.881, 0.458], [0.750, 0.204, 0.292], [0.250, 0.119, 0.542], [0.750, 0.572, 0.623], [0.750, 0.619, 0.958], [0.250, 0.381, 0.042], [0.750, 0.928, 0.123], [0.250, 0.428, 0.377], [0.250, 0.796, 0.708], [0.250, 0.072, 0.877], [0.750, 0.623, 0.370], [0.250, 0.123, 0.130], [0.750, 0.877, 0.870], [0.250, 0.377, 0.630]]}

---

Looking at energy for the records above, in order, we have -31.80; -27.79; -23.89; -30.01; -38.02; -92.16; -64.51; -66.68; -43.71; -19.08; -19.00; -32.99; -85.61; -27.53; -24.04; -24.37; -78.38; -40.68; -50.16; -58.45; -148.14; -62.27; -79.79; -188.83 eV for the cell shown.